Record 1
The following is a PBE calculation of LiPaSnPd after structural relaxation, from Alexandria.

a = 4.820 Å, b = 4.820 Å, c = 4.820 Å
α = 60.00°, β = 60.00°, γ = 60.00°
Fractional positions:
Sn 0.500 0.500 0.500
Li 0.750 0.750 0.750
Pd 0.250 0.250 0.250
Pa 0.000 0.000 0.000

Summary:
Its crystal system is cubic. Its space group is F-43m, No. 216. The energy relative to the elements is -0.364 eV/atom.

=====

Record 2
The following is a PBE calculation of Nd6TeP4 after structural relaxation, from Alexandria.

a = 4.187 Å, b = 7.212 Å, c = 21.243 Å
α = 90.00°, β = 90.00°, γ = 106.88°
Fractional positions:
P 0.407 0.815 0.125
P 0.593 0.185 0.625
P 0.593 0.185 0.875
P 0.863 0.725 0.958
P 0.407 0.815 0.375
P 0.137 0.275 0.042
P 0.863 0.725 0.542
P 0.137 0.275 0.458
Nd 0.226 0.452 0.921
Nd 0.038 0.076 0.157
Nd 0.664 0.327 0.750
Nd 0.774 0.548 0.421
Nd 0.038 0.076 0.343
Nd 0.226 0.452 0.579
Nd 0.336 0.673 0.250
Nd 0.962 0.924 0.843
Nd 0.500 0.000 0.000
Nd 0.962 0.924 0.657
Nd 0.500 0.000 0.500
Nd 0.774 0.548 0.079
Te 0.661 0.323 0.250
Te 0.339 0.677 0.750

Summary:
For the raw formation energy, the calculation gives -1.42 eV/atom. Its crystal system is orthorhombic. Its space group is Cmcm, No. 63.

=====

Record 3
The following is a PBE calculation of LuThTlPd after structural relaxation, from Alexandria.

a = 5.238 Å, b = 5.238 Å, c = 5.238 Å
α = 60.00°, β = 60.00°, γ = 60.00°
Fractional positions:
Tl 0.000 0.000 0.000
Th 0.250 0.250 0.250
Pd 0.500 0.500 0.500
Lu 0.750 0.750 0.750

Summary:
Its crystal system is cubic. Its space group is F-43m, No. 216. The energy relative to the elements is -0.387 eV/atom.

=====

Record 4
The following is a PBE calculation of Al2Rh after structural relaxation, from Alexandria.

a = 4.332 Å, b = 4.332 Å, c = 5.345 Å
α = 90.00°, β = 90.00°, γ = 120.00°
Fractional positions:
Al 0.667 0.333 0.750
Al 0.333 0.667 0.250
Al 0.000 0.000 0.500
Al 0.000 0.000 0.000
Rh 0.333 0.667 0.750
Rh 0.667 0.333 0.250

Summary:
Its crystal system is hexagonal. Its space group is P6_3/mmc, No. 194. The energy relative to the elements is -0.626 eV/atom.

=====

Record 5
The following is a PBE calculation of Ta3NbRe2 after structural relaxation, from Alexandria.

a = 3.220 Å, b = 3.220 Å, c = 9.821 Å
α = 90.00°, β = 90.00°, γ = 90.00°
Fractional positions:
Ta 0.000 0.000 0.324
Ta 0.000 0.000 0.000
Ta 0.000 0.000 0.676
Re 0.500 0.500 0.163
Re 0.500 0.500 0.837
Nb 0.500 0.500 0.500

Summary:
Its crystal system is tetragonal. Its space group is P4/mmm, No. 123. The energy relative to the elements is -0.315 eV/atom.

=====

Record 6
The following is a PBE calculation of Pa4OsRh3 after structural relaxation, from Alexandria.

a = 3.814 Å, b = 4.047 Å, c = 11.090 Å
α = 90.00°, β = 90.00°, γ = 90.00°
Fractional positions:
Rh 0.500 0.000 0.897
Rh 0.000 0.000 0.403
Rh 0.000 0.500 0.601
Pa 0.500 0.500 0.359
Pa 0.000 0.000 0.138
Pa 0.500 0.000 0.637
Pa 0.000 0.500 0.865
Os 0.500 0.500 0.100

Summary:
Its crystal system is orthorhombic. Its space group is Pmm2, No. 25. The energy relative to the elements is -0.677 eV/atom.

=====

| no. | total magnetization (Bohr magnetons per cell) | V (Å³ per atom) |
| --- | --- | --- |
| 1 | 0.1 | 19.79 |
| 2 | 1.1 | 27.90 |
| 3 | 0.0 | 25.40 |
| 4 | 0.0 | 14.48 |
| 5 | 0.0 | 16.97 |
| 6 | 0.0 | 21.39 |